1.
Compound: La4Dy2Y2Ho
Source: Alexandria
Functional: PBE
Structure: optimized geometry

DFT formation energy in kcal/mol of atoms: 0.739

Cell lengths 18.999, 3.671, 9.797 Å; angles 90.00, 115.56, 90.00 degrees
Space group C2/m (No. 12)
Unique sites:
La: 0.019 0.000 0.332 [4 per cell]
La: 0.185 0.500 0.330 [4 per cell]
Dy: 0.150 0.500 0.675 [4 per cell]
Y: 0.167 0.000 0.998 [4 per cell]
Ho: 0.000 0.500 0.000 [2 per cell]

=====

2.
Compound: Sc2Mo2Br
Source: Alexandria
Functional: PBE
Structure: optimized geometry

Excess energy over the best structure of this formula in the dataset in eV per atom: 0.000
Raw formation energy in kJ/mol of formula units: -11

Cell lengths 3.656, 3.656, 16.828 Å; angles 90.00, 90.00, 90.00 degrees
Space group I4/mmm (No. 139)
Unique sites:
Sc: 0.000 0.000 0.120 [4 per cell]
Mo: 0.000 0.500 0.250 [4 per cell]
Br: 0.000 0.000 0.500 [2 per cell]

=====

3.
Compound: Sm4Gd2C
Source: Alexandria
Functional: PBE
Structure: optimized geometry

DFT formation energy in kcal/mol of atoms: 4.046

Cell lengths 5.014, 5.014, 17.548 Å; angles 90.00, 90.00, 90.00 degrees
Space group I4/mmm (No. 139)
Unique sites:
Sm: 0.000 0.000 0.138 [4 per cell]
Sm: 0.000 0.500 0.000 [4 per cell]
Gd: 0.000 0.000 0.331 [4 per cell]
C: 0.000 0.000 0.000 [2 per cell]

=====

4.
Compound: TmGa3Tc3
Source: Alexandria
Functional: PBE
Structure: optimized geometry

DFT formation energy in kcal/mol of atoms: 17.747

Cell lengths 6.754, 6.754, 6.754 Å; angles 90.00, 90.00, 90.00 degrees
Space group Pm-3n (No. 223)
Unique sites:
Tm: 0.000 0.000 0.000 [2 per cell]
Ga: 0.000 0.250 0.500 [6 per cell]
Tc: 0.000 0.500 0.250 [6 per cell]

=====

5.
Compound: BaNaScTi2
Source: Alexandria
Functional: PBE
Structure: optimized geometry

DFT formation energy in kcal/mol of atoms: 33.302

Cell lengths 5.273, 5.273, 5.726 Å; angles 90.00, 90.00, 90.00 degrees
Space group P4/mmm (No. 123)
Unique sites:
Ba: 0.000 0.000 0.000 [1 per cell]
Na: 0.000 0.000 0.500 [1 per cell]
Sc: 0.500 0.500 0.000 [1 per cell]
Ti: 0.000 0.500 0.500 [2 per cell]

=====

6.
Compound: NpScPtO6
Source: Alexandria
Functional: PBE
Structure: optimized geometry

Raw formation energy in kJ/mol of formula units: -1854

Cell lengths 5.4478, 5.4478, 8.7030 Å; angles 90.00, 90.00, 120.00 degrees
Space group P-31c (No. 163)
Unique sites:
Np: 0.3333 0.6667 0.2500 [2 per cell]
Sc: 0.3333 0.6667 0.7500 [2 per cell]
Pt: 0.0000 0.0000 0.0000 [2 per cell]
O: 0.0035 0.3318 0.1261 [12 per cell]

=====

7.
Compound: CeNd8Sm3
Source: Alexandria
Functional: PBE
Structure: optimized geometry

DFT formation energy in kcal/mol of atoms: 12.162

Cell lengths 8.797, 8.797, 11.564 Å; angles 90.00, 90.00, 90.00 degrees
Space group I-42m (No. 121)
Unique sites:
Ce: 0.000 0.000 0.000 [2 per cell]
Nd: 0.122 0.122 0.758 [8 per cell]
Nd: 0.238 0.238 0.018 [8 per cell]
Sm: 0.000 0.000 0.500 [2 per cell]
Sm: 0.000 0.500 0.250 [4 per cell]

=====

8.
Compound: VZn2Pd2
Source: Alexandria
Functional: PBE
Structure: optimized geometry

Excess energy over the best structure of this formula in the dataset in eV per atom: 0.000
DFT formation energy in kcal/mol of atoms: -4.600

Cell lengths 7.264, 7.264, 2.880 Å; angles 90.00, 90.00, 90.00 degrees
Space group P4/mbm (No. 127)
Unique sites:
V: 0.000 0.000 0.000 [2 per cell]
Zn: 0.125 0.375 0.000 [4 per cell]
Pd: 0.173 0.673 0.500 [4 per cell]

=====

9.
Compound: Pa2IrRh2
Source: Alexandria
Functional: PBE
Structure: optimized geometry

DFT formation energy in kcal/mol of atoms: -18.684

Cell lengths 9.455, 6.228, 7.048 Å; angles 90.00, 110.20, 90.00 degrees
Space group C2/c (No. 15)
Unique sites:
Pa: 0.161 0.122 0.163 [8 per cell]
Ir: 0.000 0.228 0.750 [4 per cell]
Rh: 0.120 0.389 0.453 [8 per cell]

=====

10.
Compound: SnTe2P
Source: Alexandria
Functional: PBE
Structure: optimized geometry

Excess energy over the best structure of this formula in the dataset in eV per atom: 0.057
Raw formation energy in kJ/mol of formula units: 99

Cell lengths 5.788, 5.788, 16.350 Å; angles 90.00, 90.00, 90.00 degrees
Space group I-42d (No. 122)
Unique sites:
Sn: 0.000 0.000 0.000 [4 per cell]
Te: 0.197 0.250 0.625 [8 per cell]
P: 0.000 0.000 0.500 [4 per cell]

=====

11.
Compound: Ca3Cu4
Source: Alexandria
Functional: PBE
Structure: optimized geometry

Excess energy over the best structure of this formula in the dataset in eV per atom: 0.604
DFT formation energy in kcal/mol of atoms: 10.793

Cell lengths 5.849, 5.849, 5.849 Å; angles 90.00, 90.00, 90.00 degrees
Space group Pm-3m (No. 221)
Unique sites:
Ca: 0.000 0.000 0.500 [3 per cell]
Cu: 0.000 0.000 0.000 [1 per cell]
Cu: 0.000 0.500 0.500 [3 per cell]

=====

12.
Compound: Pm2FeGe3
Source: Alexandria
Functional: PBE
Structure: optimized geometry

Excess energy over the best structure of this formula in the dataset in eV per atom: 0.000
DFT formation energy in kcal/mol of atoms: -13.540

Cell lengths 8.339, 8.436, 14.587 Å; angles 90.00, 90.00, 90.00 degrees
Space group Fmmm (No. 69)
Unique sites:
Pm: 0.247 0.000 0.000 [8 per cell]
Pm: 0.250 0.250 0.250 [8 per cell]
Fe: 0.000 0.000 0.334 [8 per cell]
Ge: 0.000 0.000 0.174 [8 per cell]
Ge: 0.000 0.238 0.413 [16 per cell]